1.
# KMgTe2O6 PBE optimized geometry
# - E_tot (eV/atom) = -5.289
# - formation energy without anion corrections (meV/atom) = -1416
data_KMgTe2O6
_cell_length_a 10.140
_cell_length_b 11.999
_cell_length_c 7.254
_cell_angle_alpha 90.00
_cell_angle_beta 117.26
_cell_angle_gamma 90.00
_space_group_name_H-M_alt 'C 1 2/c 1'
_space_group_IT_number 15
_space_group_name_Hall '-C 2yc'
loop_
_atom_site_label
_atom_site_type_symbol
_atom_site_fract_x
_atom_site_fract_y
_atom_site_fract_z
_atom_site_occupancy
K1 K 0.000 0.103 0.250 1
Mg1 Mg 0.000 0.209 0.750 1
Te1 Te 0.163 0.414 0.175 1
O1 O 0.103 0.280 0.024 1
O2 O 0.129 0.104 0.693 1
O3 O 0.147 0.471 0.483 1

---

2.
# KMg6TiO8 PBE optimized geometry
# - E_tot (eV/atom) = -5.965
# - formation energy without anion corrections (meV/atom) = -2326
data_KMg6TiO8
_cell_length_a 4.410
_cell_length_b 4.410
_cell_length_c 8.794
_cell_angle_alpha 90.00
_cell_angle_beta 90.00
_cell_angle_gamma 90.00
_space_group_name_H-M_alt 'P 4/m m m'
_space_group_IT_number 123
_space_group_name_Hall '-P 4 2'
loop_
_atom_site_label
_atom_site_type_symbol
_atom_site_fract_x
_atom_site_fract_y
_atom_site_fract_z
_atom_site_occupancy
K1 K 0.000 0.000 0.000 1
Mg1 Mg 0.000 0.000 0.500 1
Mg2 Mg 0.000 0.500 0.258 1
Mg3 Mg 0.500 0.500 0.500 1
Ti1 Ti 0.500 0.500 0.000 1
O1 O 0.000 0.000 0.276 1
O2 O 0.000 0.500 0.000 1
O3 O 0.000 0.500 0.500 1
O4 O 0.500 0.500 0.244 1

---

3.
# KMg6TiO8 PBE optimized geometry
# - E_tot (eV/atom) = -5.967
# - formation energy without anion corrections (meV/atom) = -2328
data_KMg6TiO8
_cell_length_a 4.499
_cell_length_b 4.499
_cell_length_c 8.621
_cell_angle_alpha 90.00
_cell_angle_beta 90.00
_cell_angle_gamma 90.00
_space_group_name_H-M_alt 'P 4/m m m'
_space_group_IT_number 123
_space_group_name_Hall '-P 4 2'
loop_
_atom_site_label
_atom_site_type_symbol
_atom_site_fract_x
_atom_site_fract_y
_atom_site_fract_z
_atom_site_occupancy
K1 K 0.000 0.000 0.000 1
Mg1 Mg 0.000 0.500 0.243 1
Mg2 Mg 0.500 0.500 0.000 1
Mg3 Mg 0.500 0.500 0.500 1
Ti1 Ti 0.000 0.000 0.500 1
O1 O 0.000 0.000 0.280 1
O2 O 0.000 0.500 0.000 1
O3 O 0.000 0.500 0.500 1
O4 O 0.500 0.500 0.253 1

---

4.
# KMg2Ti2O7 PBE optimized geometry
# - E_tot (eV/atom) = -7.151
# - formation energy without anion corrections (meV/atom) = -2585
data_KMg2Ti2O7
_cell_length_a 3.984
_cell_length_b 17.121
_cell_length_c 4.080
_cell_angle_alpha 90.00
_cell_angle_beta 90.00
_cell_angle_gamma 90.00
_space_group_name_H-M_alt 'I m m 2'
_space_group_IT_number 44
_space_group_name_Hall 'I 2 -2'
loop_
_atom_site_label
_atom_site_type_symbol
_atom_site_fract_x
_atom_site_fract_y
_atom_site_fract_z
_atom_site_occupancy
K1 K 0.000 0.000 0.000 1
Mg1 Mg 0.000 0.252 0.477 1
Ti1 Ti 0.000 0.388 0.016 1
O1 O 0.000 0.121 0.482 1
O2 O 0.000 0.270 0.974 1
O3 O 0.000 0.379 0.467 1
O4 O 0.000 0.500 0.980 1

---

5.
# KMgTi2O6 PBE optimized geometry
# - E_tot (eV/atom) = -7.350
# - formation energy without anion corrections (meV/atom) = -2526
data_KMgTi2O6
_cell_length_a 9.489
_cell_length_b 11.725
_cell_length_c 6.378
_cell_angle_alpha 90.00
_cell_angle_beta 113.51
_cell_angle_gamma 90.00
_space_group_name_H-M_alt 'C 1 2/c 1'
_space_group_IT_number 15
_space_group_name_Hall '-C 2yc'
loop_
_atom_site_label
_atom_site_type_symbol
_atom_site_fract_x
_atom_site_fract_y
_atom_site_fract_z
_atom_site_occupancy
K1 K 0.000 0.107 0.250 1
Mg1 Mg 0.000 0.204 0.750 1
Ti1 Ti 0.144 0.425 0.169 1
O1 O 0.082 0.287 0.041 1
O2 O 0.118 0.460 0.448 1
O3 O 0.151 0.097 0.720 1

---

6.
# K3MgTl2O6 PBE optimized geometry
# - E_tot (eV/atom) = -4.505
# - formation energy without anion corrections (meV/atom) = -1225
data_K3MgTl2O6
_cell_length_a 5.893
_cell_length_b 10.193
_cell_length_c 6.471
_cell_angle_alpha 90.00
_cell_angle_beta 107.75
_cell_angle_gamma 90.00
_space_group_name_H-M_alt 'C 1 2/m 1'
_space_group_IT_number 12
_space_group_name_Hall '-C 2y'
loop_
_atom_site_label
_atom_site_type_symbol
_atom_site_fract_x
_atom_site_fract_y
_atom_site_fract_z
_atom_site_occupancy
K1 K 0.000 0.000 0.000 1
K2 K 0.000 0.334 0.000 1
Mg1 Mg 0.000 0.500 0.500 1
Tl1 Tl 0.000 0.167 0.500 1
O1 O 0.222 0.340 0.690 1
O2 O 0.244 0.000 0.689 1

---

Number 1: total moment 0.0 μB/cell, Fermi-level density of states 0.249 states/eV/atom. Number 2: total moment 1.0 μB/cell, Fermi-level density of states 0.231 states/eV/atom. Number 3: total moment 1.0 μB/cell, Fermi-level density of states 0.048 states/eV/atom. Number 4: total moment 0.7 μB/cell, Fermi-level density of states 0.460 states/eV/atom. Number 5: total moment 4.2 μB/cell, Fermi-level density of states 0.613 states/eV/atom. Number 6: total moment 2.2 μB/cell, Fermi-level density of states 0.802 states/eV/atom.